No. 1
# NdZnSi

A relaxed NdZnSi crystal (PBE, the Alexandria database).

## Properties
* raw total energy: -4.459 eV per atom

POSCAR file:
```
NdZnSi
1.0
4.2459 0.0000 0.0000
0.0000 4.1801 0.0000
0.0000 -2.0900 3.6200
Zn Nd Si
1 1 1
Cartesian
0.7077 0.0000 2.4134 Zn
2.8308 2.0900 1.2067 Nd
0.7074 0.0000 0.0000 Si
```


No. 2
# TaSbIr2

A relaxed TaSbIr2 crystal (PBE, the Alexandria database).

## Properties
* raw total energy: -8.550 eV per atom

POSCAR file:
```
TaSbIr2
1.0
4.9568 -0.0097 -0.0270
1.5869 4.6959 0.0270
-3.2570 -2.3638 2.8940
Ir Sb Ta
2 1 1
Cartesian
0.0001 0.0001 0.0000 Ir
3.2717 2.3430 0.0000 Ir
2.4858 -0.0152 1.4335 Sb
0.8009 2.3376 1.4605 Ta
```


No. 3
# CaTaTe2

A relaxed CaTaTe2 crystal (PBE, the Alexandria database).

## Properties
* raw total energy: -5.431 eV per atom

POSCAR file:
```
CaTaTe2
1.0
-0.5069 -3.1469 -1.5578
2.1182 -1.5295 2.4001
-5.9814 -1.2541 4.4796
Ca Te Ta
1 2 1
Cartesian
-0.6897 -2.6517 1.5410 Ca
-5.7903 -1.2140 4.3365 Te
-3.1817 -0.6671 2.3829 Te
-3.6804 -3.2788 3.7809 Ta
```